1.
The following is a PBE calculation of a relaxed structure of Li2Be2Au5, from Alexandria via LeMat-Bulk.

For the formation energy, the calculation gives -0.30 eV per atom.

Geometry as POSCAR:
```
Li2Be2Au5
1.0
6.790 -2.038 0.000
6.790 2.038 0.000
-1.389 0.000 5.083
Li Be Au
2 2 5
direct
0.081 0.081 0.354 Li
0.919 0.919 0.646 Li
0.307 0.307 0.865 Be
0.693 0.693 0.135 Be
0.127 0.127 0.886 Au
0.293 0.293 0.380 Au
0.500 0.500 0.000 Au
0.707 0.707 0.620 Au
0.873 0.873 0.114 Au
```

=====

2.
The following is a PBE calculation of a relaxed structure of LiBe2Au7, from Alexandria via LeMat-Bulk.

The calculation puts the polymorph energy (0 for the lowest one) at 0.133 eV/atom. For the formation energy, the calculation gives -0.08 eV per atom.

Geometry as POSCAR:
```
LiBe2Au7
1.0
3.745 -5.756 0.000
3.745 5.756 0.000
0.000 0.000 4.407
Li Be Au
1 2 7
direct
0.000 0.000 0.000 Li
0.299 0.701 0.500 Be
0.701 0.299 0.500 Be
0.066 0.317 0.500 Au
0.236 0.764 0.000 Au
0.317 0.066 0.500 Au
0.500 0.500 0.500 Au
0.683 0.934 0.500 Au
0.764 0.236 0.000 Au
0.934 0.683 0.500 Au
```

=====

3.
The following is a PBE calculation of a relaxed structure of Li2Be2Au7, from Alexandria via LeMat-Bulk.

For the formation energy, the calculation gives -0.19 eV per atom.

Geometry as POSCAR:
```
Li2Be2Au7
1.0
3.881 -4.397 0.000
3.881 4.397 0.000
0.000 0.000 5.524
Li Be Au
2 2 7
direct
0.183 0.183 0.000 Li
0.817 0.817 0.000 Li
0.279 0.721 0.500 Be
0.721 0.279 0.500 Be
0.000 0.000 0.500 Au
0.000 0.500 0.249 Au
0.000 0.500 0.751 Au
0.500 0.000 0.249 Au
0.500 0.000 0.751 Au
0.500 0.500 0.246 Au
0.500 0.500 0.754 Au
```

=====

Magnetization for every record listed, in sequence, given in μB/f.u.: 0.00; 0.00; 0.00.
Raw total energy for every record listed, in sequence, given in eV per atom: -3.370; -3.309; -3.301.